# 1
A relaxed Dy4GaCu2Ru crystal. Source: the Alexandria database, functional PBE.

Calculated values
ΔE_f in meV/atom: -403
Spin magnetization in μB per cell: 0.0
ρ in Mg/m³: 9.30

Cell lengths 4.9306, 4.9306, 24.1048 Å; angles 90.00, 90.00, 120.00 degrees
With the nearest neighbours (Å) after each atom.
Space group R-3m (No. 166, hexagonal axes)
Asymmetric unit:
Dy1 0.0000 0.0000 0.1195 x6  1 Ru 2.88, 4 Cu 2.95-3.05, 3 Ga 3.07
Dy2 0.0000 0.0000 0.3708 x6  3 Ru 2.99, 4 Cu 3.01-3.09, 1 Ga 3.11
Ga1 0.0000 0.0000 0.5000 x3  8 Dy 3.07-3.11, 6 Cu 3.43
Cu1 0.0000 0.0000 0.2461 x6  8 Dy 2.95-3.09
Ru1 0.0000 0.0000 0.0000 x3  8 Dy 2.88-2.99

***

# 2
A relaxed Dy4GaCuRu2 crystal. Source: the Alexandria database, functional PBE.

Calculated values
ΔE_f in meV/atom: -387
Spin magnetization in μB per cell: 0.0
ρ in Mg/m³: 9.86

Cell lengths 4.8965, 4.8965, 23.9761 Å; angles 90.00, 90.00, 120.00 degrees
With the nearest neighbours (Å) after each atom.
Space group R-3m (No. 166, hexagonal axes)
Asymmetric unit:
Dy1 0.0000 0.0000 0.1224 x6  1 Cu 2.93, 4 Ru 2.97-3.03, 3 Ga 3.02
Dy2 0.0000 0.0000 0.3729 x6  4 Ru 2.97-3.03, 3 Cu 2.98, 1 Ga 3.05
Ga1 0.0000 0.0000 0.5000 x3  8 Dy 3.02-3.05
Cu1 0.0000 0.0000 0.0000 x3  8 Dy 2.93-2.98
Ru1 0.0000 0.0000 0.2488 x6  8 Dy 2.97-3.03

***

# 3
A relaxed Dy2Ga4Cu3Ru crystal. Source: the Alexandria database, functional PBE.

Calculated values
ΔE_f in meV/atom: -439
Spin magnetization in μB per cell: 0.0
ρ in Mg/m³: 8.60

Cell lengths 4.0375, 4.0375, 10.6138 Å; angles 90.00, 90.00, 90.00 degrees
With the nearest neighbours (Å) after each atom.
Space group P-4m2 (No. 115)
Asymmetric unit:
Dy1 0.0000 0.5000 0.2482 x2  6 Cu 3.09-3.35, 8 Ga 3.11-3.32, 2 Ru 3.35
Ga1 0.0000 0.0000 0.0000 x1  4 Cu 2.49
Ga2 0.0000 0.5000 0.6364 x2  3 Cu 2.40-2.48, 2 Ru 2.48
Ga3 0.5000 0.5000 0.0000 x1  4 Cu 2.49
Cu1 0.0000 0.5000 0.8629 x2  5 Ga 2.40-2.49
Cu2 0.5000 0.5000 0.5000 x1  4 Ga 2.48
Ru1 0.0000 0.0000 0.5000 x1  4 Ga 2.48

***

# 4
A relaxed Dy2Ga4CuRu3 crystal. Source: the Alexandria database, functional PBE.

Calculated values
ΔE_f in meV/atom: -410
Spin magnetization in μB per cell: 0.0
ρ in Mg/m³: 9.06

Cell lengths 3.9894, 3.9894, 11.1817 Å; angles 90.00, 90.00, 90.00 degrees
With the nearest neighbours (Å) after each atom.
Space group P-4m2 (No. 115)
Asymmetric unit:
Dy1 0.0000 0.5000 0.2416 x2  4 Ru 3.03, 8 Ga 3.15-3.36
Ga1 0.0000 0.0000 0.0000 x1  4 Ru 2.56, 4 Ga 2.82
Ga2 0.0000 0.5000 0.6325 x2  3 Ru 2.48-2.51, 2 Cu 2.48
Ga3 0.5000 0.5000 0.0000 x1  4 Ru 2.56, 4 Ga 2.82
Cu1 0.0000 0.0000 0.5000 x1  4 Ga 2.48
Ru1 0.0000 0.5000 0.8572 x2  5 Ga 2.51-2.56
Ru2 0.5000 0.5000 0.5000 x1  4 Ga 2.48

***

# 5
A relaxed DyScGa2Cu2 crystal. Source: the Alexandria database, functional PBE.

Calculated values
ΔE_f in meV/atom: -515
Spin magnetization in μB per cell: 0.0
ρ in Mg/m³: 7.25

Cell lengths 4.2985, 4.2985, 6.7800 Å; angles 90.00, 90.00, 120.00 degrees
With the nearest neighbours (Å) after each atom.
Space group P-3m1 (No. 164)
Asymmetric unit:
Dy1 0.0000 0.0000 0.0000 x1  6 Ga 3.13, 6 Cu 3.15, 2 Sc 3.39
Sc1 0.0000 0.0000 0.5000 x1  6 Cu 2.87, 6 Ga 2.89
Ga1 0.3333 0.6667 0.2804 x2  3 Cu 2.48
Cu1 0.3333 0.6667 0.7132 x2  3 Ga 2.48

***

# 6
A relaxed DyScGaCu crystal. Source: the Alexandria database, functional PBE.

Calculated values
ΔE_f in meV/atom: -427
Spin magnetization in μB per cell: 0.0
ρ in Mg/m³: 7.00

Cell lengths 6.8623, 6.8623, 6.8623 Å; angles 90.00, 90.00, 90.00 degrees
With the nearest neighbours (Å) after each atom.
Space group F-43m (No. 216)
Asymmetric unit:
Dy1 0.0000 0.0000 0.0000 x4  4 Cu 2.97, 4 Ga 2.97
Sc1 0.0000 0.0000 0.5000 x4  4 Cu 2.97, 4 Ga 2.97
Ga1 0.2500 0.2500 0.7500 x4  4 Dy 2.97, 4 Sc 2.97
Cu1 0.2500 0.2500 0.2500 x4  4 Dy 2.97, 4 Sc 2.97

***

# 7
A relaxed DyScGa5Cu2 crystal. Source: the Alexandria database, functional PBE.

Calculated values
ΔE_f in meV/atom: -332
Spin magnetization in μB per cell: 0.0
ρ in Mg/m³: 7.03

Cell lengths 4.1129, 4.1129, 9.5325 Å; angles 90.00, 90.00, 90.00 degrees
With the nearest neighbours (Å) after each atom.
Space group P4/mmm (No. 123)
Asymmetric unit:
Dy1 0.0000 0.0000 0.0000 x1  12 Ga 2.91-3.08
Sc1 0.0000 0.0000 0.5000 x1  8 Cu 3.12, 8 Ga 3.22
Ga1 0.0000 0.5000 0.2403 x4  2 Cu 2.45
Ga2 0.5000 0.5000 0.0000 x1  4 Dy 2.91, 8 Ga 3.08
Cu1 0.5000 0.5000 0.3803 x2  1 Cu 2.28, 4 Ga 2.45

***

# 8
A relaxed Dy2Ga3Cu4Si crystal. Source: the Alexandria database, functional PBE.

Calculated values
VASP energy in eV/cell: -44.41
Spin magnetization in μB per cell: 0.0
ρ in Mg/m³: 8.04

Cell lengths 4.1072, 4.1072, 9.9978 Å; angles 90.00, 90.00, 90.00 degrees
With the nearest neighbours (Å) after each atom.
Space group P-4m2 (No. 115)
Asymmetric unit:
Dy1 0.0000 0.5000 0.2482 x2  6 Ga 3.14-3.22, 8 Cu 3.14-3.25, 2 Si 3.22
Ga1 0.0000 0.0000 0.0000 x1  4 Cu 2.42
Ga2 0.0000 0.5000 0.6331 x2  5 Cu 2.39-2.45
Cu1 0.0000 0.0000 0.5000 x1  4 Ga 2.45
Cu2 0.0000 0.5000 0.8720 x2  3 Ga 2.39-2.42, 2 Si 2.42
Cu3 0.5000 0.5000 0.5000 x1  4 Ga 2.45
Si1 0.5000 0.5000 0.0000 x1  4 Cu 2.42

***

# 9
A relaxed Sm2DyGa2Cu2 crystal. Source: the Alexandria database, functional PBE.

Calculated values
ΔE_f in meV/atom: -391
Spin magnetization in μB per cell: 0.0
ρ in Mg/m³: 7.78

Cell lengths 4.3941, 4.3941, 27.9461 Å; angles 90.00, 90.00, 120.00 degrees
With the nearest neighbours (Å) after each atom.
Space group R-3m (No. 166, hexagonal axes)
Asymmetric unit:
Sm1 0.0000 0.0000 0.1230 x6  3 Ga 3.00, 3 Cu 3.09
Dy1 0.0000 0.0000 0.0000 x3  6 Cu 3.04, 6 Ga 3.13
Ga1 0.0000 0.0000 0.2675 x6  3 Cu 2.54
Cu1 0.0000 0.0000 0.3933 x6  3 Ga 2.54

***

# 10
A relaxed SmDyGaCu crystal. Source: the Alexandria database, functional PBE.

Calculated values
ΔE_f in meV/atom: -387
Spin magnetization in μB per cell: 0.0
ρ in Mg/m³: 8.10

Cell lengths 7.1511, 7.1511, 7.1511 Å; angles 90.00, 90.00, 90.00 degrees
With the nearest neighbours (Å) after each atom.
Space group F-43m (No. 216)
Asymmetric unit:
Sm1 0.0000 0.0000 0.0000 x4  4 Cu 3.10, 4 Ga 3.10
Dy1 0.0000 0.0000 0.5000 x4  4 Cu 3.10, 4 Ga 3.10
Ga1 0.2500 0.2500 0.2500 x4  4 Dy 3.10, 4 Sm 3.10
Cu1 0.2500 0.2500 0.7500 x4  4 Dy 3.10, 4 Sm 3.10

***

# 11
A relaxed SrDyGaCu crystal. Source: the Alexandria database, functional PBE.

Calculated values
ΔE_f in meV/atom: -209
Spin magnetization in μB per cell: 0.0
ρ in Mg/m³: 6.45

Cell lengths 7.3355, 7.3355, 7.3355 Å; angles 90.00, 90.00, 90.00 degrees
With the nearest neighbours (Å) after each atom.
Space group F-43m (No. 216)
Asymmetric unit:
Sr1 0.0000 0.0000 0.0000 x4  4 Cu 3.18, 4 Ga 3.18
Dy1 0.0000 0.0000 0.5000 x4  4 Cu 3.18, 4 Ga 3.18
Ga1 0.2500 0.2500 0.7500 x4  4 Dy 3.18, 4 Sr 3.18
Cu1 0.2500 0.2500 0.2500 x4  4 Dy 3.18, 4 Sr 3.18

***

# 12
A relaxed Tb2DyGa2Cu2 crystal. Source: the Alexandria database, functional PBE.

Calculated values
ΔE_f in meV/atom: -398
Spin magnetization in μB per cell: 0.0
ρ in Mg/m³: 8.14

Cell lengths 4.3734, 4.3734, 27.5911 Å; angles 90.00, 90.00, 120.00 degrees
With the nearest neighbours (Å) after each atom.
Space group R-3m (No. 166, hexagonal axes)
Asymmetric unit:
Tb1 0.0000 0.0000 0.1235 x6  3 Ga 2.95, 3 Cu 3.02
Dy1 0.0000 0.0000 0.0000 x3  6 Cu 3.07, 6 Ga 3.15, 2 Tb 3.41
Ga1 0.0000 0.0000 0.2648 x6  3 Cu 2.53
Cu1 0.0000 0.0000 0.3965 x6  3 Ga 2.53

***

# 13
A relaxed Tb2Dy2Ga4Cu crystal. Source: the Alexandria database, functional PBE.

Calculated values
ΔE_f in meV/atom: -333
Spin magnetization in μB per cell: 0.0
ρ in Mg/m³: 7.95

Cell lengths 6.9297, 6.9297, 8.5699 Å; angles 90.00, 90.00, 90.00 degrees
With the nearest neighbours (Å) after each atom.
Space group I4/mmm (No. 139)
Asymmetric unit:
Tb1 0.0000 0.0000 0.1905 x4  1 Cu 2.65
Dy1 0.0000 0.5000 0.2500 x4  8 Ga 3.26, 4 Tb 3.50
Ga1 0.2406 0.2406 0.5000 x8  1 Cu 2.36
Cu1 0.0000 0.0000 0.5000 x2  4 Ga 2.36

***

# 14
A relaxed TbDyGaCu crystal. Source: the Alexandria database, functional PBE.

Calculated values
ΔE_f in meV/atom: -411
Spin magnetization in μB per cell: 0.0
ρ in Mg/m³: 8.48

Cell lengths 7.0884, 7.0884, 7.0884 Å; angles 90.00, 90.00, 90.00 degrees
With the nearest neighbours (Å) after each atom.
Space group F-43m (No. 216)
Asymmetric unit:
Tb1 0.0000 0.0000 0.0000 x4  4 Cu 3.07, 4 Ga 3.07
Dy1 0.0000 0.0000 0.5000 x4  4 Cu 3.07, 4 Ga 3.07
Ga1 0.2500 0.2500 0.7500 x4  4 Tb 3.07, 4 Dy 3.07
Cu1 0.2500 0.2500 0.2500 x4  4 Tb 3.07, 4 Dy 3.07

***

# 15
A relaxed DyThGaCu crystal. Source: the Alexandria database, functional PBE.

Calculated values
ΔE_f in meV/atom: -298
Spin magnetization in μB per cell: 0.0
ρ in Mg/m³: 9.41

Cell lengths 7.1960, 7.1960, 7.1960 Å; angles 90.00, 90.00, 90.00 degrees
With the nearest neighbours (Å) after each atom.
Space group F-43m (No. 216)
Asymmetric unit:
Dy1 0.0000 0.0000 0.0000 x4  4 Ga 3.12, 4 Cu 3.12
Th1 0.0000 0.0000 0.5000 x4  4 Cu 3.12, 4 Ga 3.12
Ga1 0.2500 0.2500 0.7500 x4  4 Th 3.12, 4 Dy 3.12
Cu1 0.2500 0.2500 0.2500 x4  4 Th 3.12, 4 Dy 3.12

***

# 16
A relaxed DyThGa2Cu2 crystal. Source: the Alexandria database, functional PBE.

Calculated values
ΔE_f in meV/atom: -459
Spin magnetization in μB per cell: 0.0
ρ in Mg/m³: 8.99

Cell lengths 4.3614, 4.3614, 7.4094 Å; angles 90.00, 90.00, 120.00 degrees
With the nearest neighbours (Å) after each atom.
Space group P-3m1 (No. 164)
Asymmetric unit:
Dy1 0.0000 0.0000 0.0000 x1  6 Cu 3.03, 6 Ga 3.08
Th1 0.0000 0.0000 0.5000 x1  6 Ga 3.17, 6 Cu 3.23
Ga1 0.3333 0.6667 0.7596 x2  3 Cu 2.52
Cu1 0.3333 0.6667 0.2278 x2  3 Ga 2.52

***

# 17
A relaxed Dy2ThGa2Cu2 crystal. Source: the Alexandria database, functional PBE.

Calculated values
ΔE_f in meV/atom: -363
Spin magnetization in μB per cell: 0.0
ρ in Mg/m³: 8.85

Cell lengths 4.4035, 4.4035, 27.6195 Å; angles 90.00, 90.00, 120.00 degrees
With the nearest neighbours (Å) after each atom.
Space group R-3m (No. 166, hexagonal axes)
Asymmetric unit:
Dy1 0.0000 0.0000 0.1258 x6  3 Ga 2.94, 3 Cu 2.99
Th1 0.0000 0.0000 0.0000 x3  6 Cu 3.18, 6 Ga 3.23, 2 Dy 3.47
Ga1 0.0000 0.0000 0.2611 x6  3 Cu 2.54
Cu1 0.0000 0.0000 0.4023 x6  3 Ga 2.54

***

# 18
A relaxed DyTlGaCu crystal. Source: the Alexandria database, functional PBE.

Calculated values
ΔE_f in meV/atom: -152
Spin magnetization in μB per cell: 0.0
ρ in Mg/m³: 9.98

Cell lengths 6.9299, 6.9299, 6.9299 Å; angles 90.00, 90.00, 90.00 degrees
With the nearest neighbours (Å) after each atom.
Space group F-43m (No. 216)
Asymmetric unit:
Dy1 0.0000 0.0000 0.0000 x4  4 Cu 3.00, 4 Ga 3.00
Tl1 0.0000 0.0000 0.5000 x4  4 Ga 3.00, 4 Cu 3.00
Ga1 0.2500 0.2500 0.7500 x4  4 Tl 3.00, 4 Dy 3.00
Cu1 0.2500 0.2500 0.2500 x4  4 Tl 3.00, 4 Dy 3.00

***

# 19
A relaxed DyTmGaCu crystal. Source: the Alexandria database, functional PBE.

Calculated values
ΔE_f in meV/atom: -428
Spin magnetization in μB per cell: 0.0
ρ in Mg/m³: 8.92

Cell lengths 7.0208, 7.0208, 7.0208 Å; angles 90.00, 90.00, 90.00 degrees
With the nearest neighbours (Å) after each atom.
Space group F-43m (No. 216)
Asymmetric unit:
Dy1 0.0000 0.0000 0.0000 x4  4 Cu 3.04, 4 Ga 3.04
Tm1 0.0000 0.0000 0.5000 x4  4 Ga 3.04, 4 Cu 3.04
Ga1 0.2500 0.2500 0.2500 x4  4 Dy 3.04, 4 Tm 3.04
Cu1 0.2500 0.2500 0.7500 x4  4 Tm 3.04, 4 Dy 3.04

***

# 20
A relaxed DyY2Ga2Cu2 crystal. Source: the Alexandria database, functional PBE.

Calculated values
ΔE_f in meV/atom: -409
Spin magnetization in μB per cell: 0.0
ρ in Mg/m³: 6.59

Cell lengths 4.3638, 4.3638, 27.8106 Å; angles 90.00, 90.00, 120.00 degrees
With the nearest neighbours (Å) after each atom.
Space group R-3m (No. 166, hexagonal axes)
Asymmetric unit:
Dy1 0.0000 0.0000 0.0000 x3  6 Cu 3.07, 6 Ga 3.16, 2 Y 3.43
Y1 0.0000 0.0000 0.1232 x6  3 Ga 2.94, 3 Cu 3.03
Ga1 0.0000 0.0000 0.2649 x6  3 Cu 2.52
Cu1 0.0000 0.0000 0.3964 x6  3 Ga 2.52

***

# 21
A relaxed Dy2Y2Ga4Cu crystal. Source: the Alexandria database, functional PBE.

Calculated values
ΔE_f in meV/atom: -348
Spin magnetization in μB per cell: 0.0
ρ in Mg/m³: 6.84

Cell lengths 6.9338, 6.9338, 8.5376 Å; angles 90.00, 90.00, 90.00 degrees
With the nearest neighbours (Å) after each atom.
Space group I4/mmm (No. 139)
Asymmetric unit:
Dy1 0.0000 0.0000 0.1897 x4  1 Cu 2.65
Y1 0.0000 0.5000 0.2500 x4  8 Ga 3.25, 4 Dy 3.50
Ga1 0.2407 0.2407 0.5000 x8  1 Cu 2.36
Cu1 0.0000 0.0000 0.5000 x2  4 Ga 2.36

***

# 22
A relaxed Dy2Zn3GaCu12 crystal. Source: the Alexandria database, functional PBE.

Calculated values
ΔE_f in meV/atom: 15
Spin magnetization in μB per cell: 0.0
ρ in Mg/m³: 8.28

Cell lengths 8.7341, 8.7341, 12.3308 Å; angles 90.00, 90.00, 120.00 degrees
With the nearest neighbours (Å) after each atom.
Space group R-3m (No. 166, hexagonal axes)
Asymmetric unit:
Dy1 0.0000 0.0000 0.2065 x6  9 Cu 2.83-2.89, 3 Zn 2.97
Zn1 0.0000 0.5000 0.0000 x9  6 Cu 2.55-2.79
Ga1 0.0000 0.0000 0.5000 x3  6 Cu 2.44
Cu1 0.0177 0.5088 0.2062 x18  5 Cu 2.41-2.59, 1 Ga 2.44, 1 Zn 2.55
Cu2 0.0358 0.5179 0.6013 x18  4 Cu 2.41-2.59

***

# 23
A relaxed DyZnGa4Cu2 crystal. Source: the Alexandria database, functional PBE.

Calculated values
ΔE_f in meV/atom: -199
Spin magnetization in μB per cell: 0.0
ρ in Mg/m³: 7.71

Cell lengths 4.2869, 4.2869, 25.7279 Å; angles 90.00, 90.00, 120.00 degrees
With the nearest neighbours (Å) after each atom.
Space group R-3m (No. 166, hexagonal axes)
Asymmetric unit:
Dy1 0.0000 0.0000 0.0000 x3  8 Ga 2.96-3.21
Zn1 0.0000 0.0000 0.5000 x3  8 Ga 2.66-2.70
Ga1 0.0000 0.0000 0.1246 x6  3 Cu 2.63, 3 Zn 2.70, 3 Ga 2.93
Ga2 0.0000 0.0000 0.3968 x6  3 Cu 2.57, 1 Zn 2.66
Cu1 0.0000 0.0000 0.2432 x6  6 Ga 2.57-2.63

***

# 24
A relaxed Dy2Zn3Ga4Cu crystal. Source: the Alexandria database, functional PBE.

Calculated values
ΔE_f in meV/atom: -416
Spin magnetization in μB per cell: 0.0
ρ in Mg/m³: 7.89

Cell lengths 4.1664, 4.1664, 10.4741 Å; angles 90.00, 90.00, 90.00 degrees
With the nearest neighbours (Å) after each atom.
Space group P-4m2 (No. 115)
Asymmetric unit:
Dy1 0.0000 0.5000 0.2450 x2  6 Zn 3.18-3.31, 8 Ga 3.19-3.39, 2 Cu 3.31
Zn1 0.0000 0.0000 0.0000 x1  4 Ga 2.48
Zn2 0.0000 0.5000 0.6412 x2  5 Ga 2.41-2.55
Ga1 0.0000 0.0000 0.5000 x1  4 Zn 2.55
Ga2 0.0000 0.5000 0.8709 x2  3 Zn 2.41-2.48, 2 Cu 2.48
Ga3 0.5000 0.5000 0.5000 x1  4 Zn 2.55
Cu1 0.5000 0.5000 0.0000 x1  4 Ga 2.48

***

# 25
A relaxed DyZnGaCu6 crystal. Source: the Alexandria database, functional PBE.

Calculated values
ΔE_f in meV/atom: 93
Spin magnetization in μB per cell: 0.0
ρ in Mg/m³: 7.83

Cell lengths 6.8834, 8.6916, 9.6276 Å; angles 90.00, 90.00, 90.00 degrees
With the nearest neighbours (Å) after each atom.
Space group Imma (No. 74)
Asymmetric unit:
Dy1 0.0000 0.2500 0.2143 x4  10 Cu 2.86-3.18, 2 Ga 3.00
Zn1 0.2500 0.2500 0.7500 x4  6 Cu 2.36-2.54
Ga1 0.0000 0.0000 0.0000 x4  6 Cu 2.31-2.52
Cu1 0.0000 0.2500 0.5204 x4  8 Cu 2.73-2.86, 2 Zn 2.80, 1 Dy 2.95
Cu2 0.0000 0.2500 0.9175 x4  2 Ga 2.31, 2 Zn 2.36
Cu3 0.1809 0.0030 0.3725 x16  4 Cu 2.46-2.73, 1 Ga 2.52, 1 Zn 2.54